(1)
First-principles (PBE) data for a relaxed CsDyAlTe3 crystal, as listed in OQMD.

E above lowest polymorph ... 0.000 eV per atom
Crystal system ... orthorhombic

a b c (Å): 4.849 16.565 11.686
angles (deg): 90.00 90.00 90.00
Space group Cmcm (No. 63)
Inequivalent atoms, fractional coordinates:
Cs  0.000  0.246  0.250 x4
Dy  0.000  0.500  0.000 x4
Al  0.000  0.019  0.750 x4
Te  0.000  0.116  0.562 x8
Te  0.000  0.442  0.750 x4

(2)
First-principles (PBE) data for a relaxed CsDyAlTe3 crystal, as listed in OQMD.

E above lowest polymorph ... 0.049 eV per atom
Crystal system ... orthorhombic

a b c (Å): 12.049 5.130 13.685
angles (deg): 90.00 90.00 90.00
Space group Pnma (No. 62)
Inequivalent atoms, fractional coordinates:
Cs  0.178  0.250  0.008 x4
Dy  0.028  0.250  0.327 x4
Al  0.225  0.250  0.724 x4
Te  0.054  0.750  0.186 x4
Te  0.087  0.250  0.563 x4
Te  0.205  0.750  0.796 x4

(3)
First-principles (PBE) data for a relaxed CsErAl crystal, as listed in OQMD.

DFT total energy ... -2.24 eV/atom
Crystal system ... cubic

a b c (Å): 7.677 7.677 7.677
angles (deg): 90.00 90.00 90.00
Space group F-43m (No. 216)
Inequivalent atoms, fractional coordinates:
Cs  0.000  0.000  0.000 x4
Er  0.250  0.250  0.750 x4
Al  0.000  0.000  0.500 x4

(4)
First-principles (PBE) data for a relaxed CsErAlSe3 crystal, as listed in OQMD.

DFT total energy ... -4.54 eV/atom
Crystal system ... orthorhombic

a b c (Å): 4.346 15.991 10.928
angles (deg): 90.00 90.00 90.00
Space group Cmcm (No. 63)
Inequivalent atoms, fractional coordinates:
Cs  0.000  0.240  0.250 x4
Er  0.000  0.500  0.000 x4
Al  0.000  0.029  0.750 x4
Se  0.000  0.115  0.566 x8
Se  0.000  0.450  0.750 x4

(5)
First-principles (PBE) data for a relaxed CsAlPdF6 crystal, as listed in OQMD.

DFT total energy ... -4.88 eV/atom
Crystal system ... orthorhombic

a b c (Å): 7.251 7.135 9.899
angles (deg): 90.00 90.00 90.00
Space group Pnma (No. 62)
Inequivalent atoms, fractional coordinates:
Cs  0.009  0.250  0.141 x4
Al  0.000  0.000  0.500 x4
Pd  0.242  0.250  0.753 x4
F  0.003  0.250  0.502 x4
F  0.010  0.750  0.157 x4
F  0.167  0.507  0.635 x8
F  0.186  0.002  0.379 x8

(6)
First-principles (PBE) data for a relaxed Cs2AlFeSe4 crystal, as listed in OQMD.

DFT total energy ... -4.39 eV/atom
Crystal system ... monoclinic

a b c (Å): 7.945 12.910 5.983
angles (deg): 90.00 112.07 90.00
Space group C2 (No. 5)
Inequivalent atoms, fractional coordinates:
Cs  0.000  0.000  0.000 x2
Cs  0.000  0.285  0.500 x2
Al  0.000  0.645  0.500 x2
Fe  0.000  0.640  0.000 x2
Se  0.183  0.540  0.347 x4
Se  0.184  0.746  0.845 x4

(7)
First-principles (PBE) data for a relaxed CsGdAlSe3 crystal, as listed in OQMD.

DFT total energy ... -4.58 eV/atom
Crystal system ... orthorhombic

a b c (Å): 4.364 15.958 11.167
angles (deg): 90.00 90.00 90.00
Space group Cmcm (No. 63)
Inequivalent atoms, fractional coordinates:
Cs  0.000  0.239  0.250 x4
Gd  0.000  0.500  0.000 x4
Al  0.000  0.030  0.750 x4
Se  0.000  0.118  0.570 x8
Se  0.000  0.450  0.750 x4

(8)
First-principles (PBE) data for a relaxed CsAlGe2Pt crystal, as listed in OQMD.

DFT total energy ... -4.23 eV/atom
Crystal system ... tetragonal

a b c (Å): 4.171 4.171 15.037
angles (deg): 90.00 90.00 90.00
Space group I-4m2 (No. 119)
Inequivalent atoms, fractional coordinates:
Cs  0.000  0.000  0.000 x2
Al  0.000  0.500  0.250 x2
Ge  0.000  0.000  0.348 x4
Pt  0.000  0.500  0.750 x2

(9)
First-principles (PBE) data for a relaxed CsHfAlSe3 crystal, as listed in OQMD.

DFT total energy ... -5.10 eV/atom
Crystal system ... orthorhombic

a b c (Å): 3.792 17.028 10.290
angles (deg): 90.00 90.00 90.00
Space group Cmcm (No. 63)
Inequivalent atoms, fractional coordinates:
Cs  0.000  0.245  0.250 x4
Hf  0.000  0.500  0.000 x4
Al  0.000  0.036  0.750 x4
Se  0.000  0.115  0.556 x8
Se  0.000  0.442  0.750 x4

(10)
First-principles (PBE) data for a relaxed CsHfAlTe3 crystal, as listed in OQMD.

DFT total energy ... -4.58 eV/atom
Crystal system ... orthorhombic

a b c (Å): 4.066 18.595 10.706
angles (deg): 90.00 90.00 90.00
Space group Cmcm (No. 63)
Inequivalent atoms, fractional coordinates:
Cs  0.000  0.243  0.250 x4
Hf  0.000  0.000  0.000 x4
Al  0.000  0.472  0.750 x4
Te  0.000  0.071  0.750 x4
Te  0.000  0.387  0.548 x8

(11)
First-principles (PBE) data for a relaxed CsAlHg crystal, as listed in OQMD.

E above lowest polymorph ... 0.000 eV per atom
Crystal system ... cubic

a b c (Å): 8.046 8.046 8.046
angles (deg): 90.00 90.00 90.00
Space group F-43m (No. 216)
Inequivalent atoms, fractional coordinates:
Cs  0.000  0.000  0.000 x4
Al  0.000  0.000  0.500 x4
Hg  0.250  0.250  0.750 x4

(12)
First-principles (PBE) data for a relaxed CsAlHg crystal, as listed in OQMD.

E above lowest polymorph ... 0.240 eV per atom
Crystal system ... cubic

a b c (Å): 8.446 8.446 8.446
angles (deg): 90.00 90.00 90.00
Space group F-43m (No. 216)
Inequivalent atoms, fractional coordinates:
Cs  0.000  0.000  0.000 x4
Al  0.250  0.250  0.750 x4
Hg  0.250  0.250  0.250 x4